No. 1
A relaxed structure of RbEr2Cl7. Source: Alexandria via LeMat-Bulk, functional PBE.

It has space group Pnma (No. 62), with a = 13.744 Å, b = 6.930 Å, c = 12.615 Å, α = 90.00°, β = 90.00° and γ = 90.00°. Symmetry generates all atoms from Rb at (0.034, 0.250, 0.200), Er at (0.241, 0.250, 0.542), Er at (0.247, 0.250, 0.844), Cl at (0.114, 0.750, 0.191), Cl at (0.129, 0.010, 0.424), Cl at (0.134, 0.010, 0.961) and Cl at (0.176, 0.011, 0.694).

The uncorrected energy comes out at -4.553 eV/atom. Its crystal system is orthorhombic. The energy relative to the elements, uncorrected is -22.5 eV per formula unit.

No. 2
A relaxed structure of Rb2ErCl5. Source: Alexandria via LeMat-Bulk, functional PBE.

It has space group Pnma (No. 62), with a = 13.315 Å, b = 8.748 Å, c = 8.352 Å, α = 90.00°, β = 90.00° and γ = 90.00°. Symmetry generates all atoms from Rb at (0.169, 0.008, 0.071), Er at (0.005, 0.250, 0.568), Cl at (0.016, 0.250, 0.890), Cl at (0.061, 0.546, 0.661), Cl at (0.176, 0.250, 0.407) and Cl at (0.189, 0.750, 0.360).

The uncorrected energy comes out at -4.124 eV/atom. Its crystal system is orthorhombic. The energy relative to the elements, uncorrected is -17.3 eV per formula unit.

No. 3
A relaxed structure of RbEr4Cl12. Source: Alexandria via LeMat-Bulk, functional PBE.

It has space group Immm (No. 71), with a = 10.235 Å, b = 10.236 Å, c = 10.245 Å, α = 90.00°, β = 90.00° and γ = 90.00°. Symmetry generates all atoms from Rb at (0.000, 0.000, 0.000), Er at (0.250, 0.250, 0.250), Cl at (0.000, 0.198, 0.286), Cl at (0.200, 0.287, 0.000) and Cl at (0.212, 0.500, 0.301).

The uncorrected energy comes out at -4.580 eV/atom. Its crystal system is orthorhombic. The energy relative to the elements, uncorrected is -36.5 eV per formula unit.

No. 4
A relaxed structure of Rb2ErCl6. Source: Alexandria via LeMat-Bulk, functional PBE.

It has space group C2/m (No. 12), with a = 15.505 Å, b = 7.899 Å, c = 4.948 Å, α = 90.00°, β = 104.61° and γ = 90.00°. Symmetry generates all atoms from Rb at (0.168, 0.000, 0.161), Er at (0.000, 0.500, 0.500), Cl at (0.000, 0.303, 0.000) and Cl at (0.138, 0.284, 0.637).

The uncorrected energy comes out at -3.728 eV/atom. Its crystal system is monoclinic. The energy relative to the elements, uncorrected is -16.0 eV per formula unit.

No. 5
A relaxed structure of RbErScCl6. Source: Alexandria via LeMat-Bulk, functional PBE.

It has space group P-31c (No. 163), with a = 6.7692 Å, b = 6.7692 Å, c = 14.9631 Å, α = 90.00°, β = 90.00° and γ = 120.00°. Symmetry generates all atoms from Rb at (0.0000, 0.0000, 0.0000), Er at (0.3333, 0.6667, 0.2500), Sc at (0.3333, 0.6667, 0.7500) and Cl at (0.0041, 0.3716, 0.6489).

The uncorrected energy comes out at -4.626 eV/atom. Its crystal system is trigonal. The energy relative to the elements, uncorrected is -18.7 eV per formula unit.

No. 6
A relaxed structure of RbErSnCl6. Source: Alexandria via LeMat-Bulk, functional PBE.

It has space group P312 (No. 149), with a = 7.2464 Å, b = 7.2464 Å, c = 7.1327 Å, α = 90.00°, β = 90.00° and γ = 120.00°. Symmetry generates all atoms from Rb at (0.0000, 0.0000, 0.0000), Er at (0.6667, 0.3333, 0.5000), Sn at (0.3333, 0.6667, 0.5000) and Cl at (0.3826, 0.0238, 0.7125).

The uncorrected energy comes out at -4.118 eV/atom. Its crystal system is trigonal. The energy relative to the elements, uncorrected is -16.5 eV per formula unit.

No. 7
A relaxed structure of RbErTl2Cl6. Source: Alexandria via LeMat-Bulk, functional PBE.

It has space group R3 (No. 146, hexagonal axes), with a = 7.8614 Å, b = 7.8614 Å, c = 20.0852 Å, α = 90.00°, β = 90.00° and γ = 120.00°. Symmetry generates all atoms from Rb at (0.0000, 0.0000, 0.0000), Er at (0.0000, 0.0000, 0.4907), Tl at (0.0000, 0.0000, 0.2828), Tl at (0.0000, 0.0000, 0.7911), Cl at (0.0310, 0.4104, 0.2272) and Cl at (0.0782, 0.6828, 0.0748).

The uncorrected energy comes out at -3.881 eV/atom. Its crystal system is trigonal. The energy relative to the elements, uncorrected is -17.5 eV per formula unit.

No. 8
A relaxed structure of Rb2ErTlCl6. Source: Alexandria via LeMat-Bulk, functional PBE.

It has space group P2_1/c (No. 14), with a = 7.702 Å, b = 8.127 Å, c = 13.424 Å, α = 90.00°, β = 124.59° and γ = 90.00°. Symmetry generates all atoms from Rb at (0.224, 0.069, 0.248), Er at (0.500, 0.000, 0.000), Tl at (0.000, 0.000, 0.500), Cl at (0.173, 0.177, 0.949), Cl at (0.269, 0.730, 0.937) and Cl at (0.386, 0.041, 0.776).

The uncorrected energy comes out at -3.947 eV/atom. Its crystal system is monoclinic. The energy relative to the elements, uncorrected is -19.5 eV per formula unit.

No. 9
A relaxed structure of RbErVCl6. Source: Alexandria via LeMat-Bulk, functional PBE.

It has space group P-31c (No. 163), with a = 6.6357 Å, b = 6.6357 Å, c = 14.9544 Å, α = 90.00°, β = 90.00° and γ = 120.00°. Symmetry generates all atoms from Rb at (0.0000, 0.0000, 0.0000), Er at (0.3333, 0.6667, 0.2500), V at (0.3333, 0.6667, 0.7500) and Cl at (0.0148, 0.3754, 0.6520).

The uncorrected energy comes out at -4.721 eV/atom. Its crystal system is trigonal. The energy relative to the elements, uncorrected is -16.8 eV per formula unit.

No. 10
A relaxed structure of RbErZn2Cl8. Source: Alexandria via LeMat-Bulk, functional PBE.

It has space group R-3 (No. 148, hexagonal axes), with a = 6.4638 Å, b = 6.4638 Å, c = 29.9080 Å, α = 90.00°, β = 90.00° and γ = 120.00°. Symmetry generates all atoms from Rb at (0.0000, 0.0000, 0.0000), Er at (0.0000, 0.0000, 0.5000), Zn at (0.0000, 0.0000, 0.2457), Cl at (0.0000, 0.0000, 0.3195) and Cl at (0.0021, 0.6635, 0.2185).

The uncorrected energy comes out at -3.554 eV/atom. Its crystal system is trigonal. The energy relative to the elements, uncorrected is -19.8 eV per formula unit.

No. 11
A relaxed structure of Er2ReCl. Source: Alexandria via LeMat-Bulk, functional PBE.

It has space group R-3m (No. 166, hexagonal axes), with a = 3.1250 Å, b = 3.1250 Å, c = 30.1437 Å, α = 90.00°, β = 90.00° and γ = 120.00°. Symmetry generates all atoms from Er at (0.0000, 0.0000, 0.0911), Re at (0.0000, 0.0000, 0.0000) and Cl at (0.0000, 0.0000, 0.5000).

The uncorrected energy comes out at -5.731 eV/atom. Its crystal system is trigonal. The energy relative to the elements, uncorrected is 0.5 eV per formula unit.

No. 12
A relaxed structure of ErRhCl. Source: Alexandria via LeMat-Bulk, functional PBE.

It has space group C2/m (No. 12), with a = 7.299 Å, b = 4.216 Å, c = 10.095 Å, α = 90.00°, β = 104.01° and γ = 90.00°. Symmetry generates all atoms from Er at (0.061, 0.000, 0.182), Rh at (0.165, 0.500, 0.994) and Cl at (0.219, 0.000, 0.658).

The uncorrected energy comes out at -5.919 eV/atom. Its crystal system is monoclinic. The energy relative to the elements, uncorrected is -4.0 eV per formula unit.

No. 13
A relaxed structure of ErRhCl6. Source: Alexandria via LeMat-Bulk, functional PBE.

It has space group R-3 (No. 148, hexagonal axes), with a = 6.2833 Å, b = 6.2833 Å, c = 17.0775 Å, α = 90.00°, β = 90.00° and γ = 120.00°. Symmetry generates all atoms from Er at (0.0000, 0.0000, 0.0000), Rh at (0.0000, 0.0000, 0.5000) and Cl at (0.0031, 0.6918, 0.4204).

The uncorrected energy comes out at -4.203 eV/atom. Its crystal system is trigonal. The energy relative to the elements, uncorrected is -10.6 eV per formula unit.

No. 14
A relaxed structure of Er4RhSe2Cl. Source: Alexandria via LeMat-Bulk, functional PBE.

It has space group P2/m (No. 10), with a = 7.073 Å, b = 3.909 Å, c = 7.180 Å, α = 90.00°, β = 108.06° and γ = 90.00°. Symmetry generates all atoms from Er at (0.220, 0.000, 0.227), Er at (0.231, 0.500, 0.754), Rh at (0.000, 0.500, 0.000), Se at (0.000, 0.000, 0.500), Se at (0.500, 0.500, 0.500) and Cl at (0.500, 0.000, 0.000).

The uncorrected energy comes out at -5.667 eV/atom. Its crystal system is monoclinic. The energy relative to the elements, uncorrected is -10.9 eV per formula unit.

No. 15
A relaxed structure of Er2RuCl. Source: Alexandria via LeMat-Bulk, functional PBE.

It has space group P2/m (No. 10), with a = 3.423 Å, b = 3.359 Å, c = 7.988 Å, α = 90.00°, β = 90.09° and γ = 90.00°. Symmetry generates all atoms from Er at (0.001, 0.000, 0.206), Ru at (0.500, 0.500, 0.000) and Cl at (0.000, 0.500, 0.500).

The uncorrected energy comes out at -6.062 eV/atom. Its crystal system is monoclinic. The energy relative to the elements, uncorrected is -4.0 eV per formula unit.

No. 16
A relaxed structure of Er2RuCl. Source: Alexandria via LeMat-Bulk, functional PBE.

It has space group R3m (No. 160, hexagonal axes), with a = 3.8684 Å, b = 3.8684 Å, c = 22.6756 Å, α = 90.00°, β = 90.00° and γ = 120.00°. Symmetry generates all atoms from Er at (0.0000, 0.0000, 0.0000), Er at (0.0000, 0.0000, 0.1996), Ru at (0.0000, 0.0000, 0.5989) and Cl at (0.0000, 0.0000, 0.4277).

The uncorrected energy comes out at -5.887 eV/atom. Its crystal system is trigonal. The energy relative to the elements, uncorrected is -3.3 eV per formula unit.

No. 17
A relaxed structure of Er2RuCl. Source: Alexandria via LeMat-Bulk, functional PBE.

It has space group R-3m (No. 166, hexagonal axes), with a = 3.8881 Å, b = 3.8881 Å, c = 22.2371 Å, α = 90.00°, β = 90.00° and γ = 120.00°. Symmetry generates all atoms from Er at (0.0000, 0.0000, 0.2343), Ru at (0.0000, 0.0000, 0.5000) and Cl at (0.0000, 0.0000, 0.0000).

The uncorrected energy comes out at -5.917 eV/atom. Its crystal system is trigonal. The energy relative to the elements, uncorrected is -3.4 eV per formula unit.

No. 18
A relaxed structure of Er2RuCl. Source: Alexandria via LeMat-Bulk, functional PBE.

It has space group P4/mmm (No. 123), with a = 3.329 Å, b = 3.329 Å, c = 7.934 Å, α = 90.00°, β = 90.00° and γ = 90.00°. Symmetry generates all atoms from Er at (0.000, 0.000, 0.210), Ru at (0.500, 0.500, 0.000) and Cl at (0.500, 0.500, 0.500).

The uncorrected energy comes out at -5.970 eV/atom. Its crystal system is tetragonal. The energy relative to the elements, uncorrected is -3.6 eV per formula unit.

No. 19
A relaxed structure of ErS2Cl4. Source: Alexandria via LeMat-Bulk, functional PBE.

It has space group P-1 (No. 2), with a = 3.978 Å, b = 7.684 Å, c = 8.067 Å, α = 97.91°, β = 100.52° and γ = 91.65°. Symmetry generates all atoms from Er at (0.000, 0.000, 0.000), S at (0.462, 0.439, 0.390), Cl at (0.122, 0.130, 0.322) and Cl at (0.489, 0.215, 0.945).

The uncorrected energy comes out at -4.091 eV/atom. Its crystal system is triclinic. The energy relative to the elements, uncorrected is -8.4 eV per formula unit.

No. 20
A relaxed structure of Er6S8Cl. Source: Alexandria via LeMat-Bulk, functional PBE.

It has space group R-3 (No. 148, hexagonal axes), with a = 7.6347 Å, b = 7.6347 Å, c = 20.5838 Å, α = 90.00°, β = 90.00° and γ = 120.00°. Symmetry generates all atoms from Er at (0.0039, 0.6428, 0.4169), S at (0.0000, 0.0000, 0.1682), S at (0.0063, 0.6948, 0.6160) and Cl at (0.0000, 0.0000, 0.5000).

The uncorrected energy comes out at -6.060 eV/atom. Its crystal system is trigonal. The energy relative to the elements, uncorrected is -28.7 eV per formula unit.